(1)
First-principles (PBE-GGA) data for a geometry-optimized Ti13Al2 structure, as listed in Alexandria via LeMat-Bulk.

It has space group R-3m (No. 166, hexagonal axes), with a = 7.1699 Å, b = 7.1699 Å, c = 20.4958 Å, α = 90.00°, β = 90.00° and γ = 120.00°. The asymmetric unit holds Ti at (0.0000, 0.0000, 0.0000), Ti at (0.0807, 0.5403, 0.4275), Ti at (0.0827, 0.5413, 0.2973) and Al at (0.0000, 0.0000, 0.1302).

Its raw total energy is -309.89 eV/cell. The calculation puts the energy of formation at 6.82 eV/f.u.



(2)
First-principles (PBE-GGA) data for a geometry-optimized Ti3Al2 structure, as listed in Alexandria via LeMat-Bulk.

It has space group R-3m (No. 166, hexagonal axes), with a = 4.4966 Å, b = 4.4966 Å, c = 14.1511 Å, α = 90.00°, β = 90.00° and γ = 120.00°. The asymmetric unit holds Ti at (0.0000, 0.0000, 0.0000), Ti at (0.0000, 0.0000, 0.2023) and Al at (0.0000, 0.0000, 0.4060).

Its raw total energy is -97.98 eV/cell. The calculation puts the energy of formation at -1.49 eV/f.u.



(3)
First-principles (PBE-GGA) data for a geometry-optimized TiAl2 structure, as listed in Alexandria via LeMat-Bulk.

It has space group I4_1/amd (No. 141, origin choice 2), with a = 3.965 Å, b = 3.965 Å, c = 24.289 Å, α = 90.00°, β = 90.00° and γ = 90.00°. The asymmetric unit holds Ti at (0.000, 0.250, 0.297), Al at (0.000, 0.250, 0.125) and Al at (0.000, 0.250, 0.789).

Its raw total energy is -133.51 eV/cell. The calculation puts the energy of formation at -1.31 eV/f.u.



(4)
First-principles (PBE-GGA) data for a geometry-optimized TiAl8 structure, as listed in Alexandria via LeMat-Bulk.

It has space group I4/mmm (No. 139), with a = 8.671 Å, b = 8.671 Å, c = 3.918 Å, α = 90.00°, β = 90.00° and γ = 90.00°. The asymmetric unit holds Ti at (0.000, 0.000, 0.000), Al at (0.000, 0.330, 0.000) and Al at (0.163, 0.163, 0.500).

Its raw total energy is -77.29 eV/cell. The calculation puts the energy of formation at -0.81 eV/f.u.



(5)
First-principles (PBE-GGA) data for a geometry-optimized Ti2Al structure, as listed in Alexandria via LeMat-Bulk.

It has space group F-43m (No. 216), with a = 6.301 Å, b = 6.301 Å, c = 6.301 Å, α = 90.00°, β = 90.00° and γ = 90.00°. The asymmetric unit holds Ti at (0.000, 0.000, 0.000), Ti at (0.250, 0.250, 0.250) and Al at (0.250, 0.250, 0.750).

Its raw total energy is -71.24 eV/cell. The calculation puts the energy of formation at 1.72 eV/f.u.



(6)
First-principles (PBE-GGA) data for a geometry-optimized Ti4Al5 structure, as listed in Alexandria via LeMat-Bulk.

It has space group P6_3/mcm (No. 193), with a = 7.9020 Å, b = 7.9020 Å, c = 5.3857 Å, α = 90.00°, β = 90.00° and γ = 120.00°. The asymmetric unit holds Ti at (0.0000, 0.0000, 0.0000), Ti at (0.0000, 0.3573, 0.2500), Al at (0.0000, 0.3063, 0.7500) and Al at (0.3333, 0.6667, 0.0000).

Its raw total energy is -105.61 eV/cell. The calculation puts the energy of formation at -2.51 eV/f.u. The polymorph energy (0 for the lowest one) comes out at 82 meV/atom.



(7)
First-principles (PBE-GGA) data for a geometry-optimized Ti15Al2Tl2 structure, as listed in Alexandria via LeMat-Bulk.

It has space group R-3m (No. 166, hexagonal axes), with a = 9.0864 Å, b = 9.0864 Å, c = 14.6297 Å, α = 90.00°, β = 90.00° and γ = 120.00°. The asymmetric unit holds Ti at (0.0000, 0.2968, 0.0000), Ti at (0.0000, 0.5000, 0.5000), Ti at (0.0182, 0.5091, 0.1380), Al at (0.0000, 0.0000, 0.0912) and Tl at (0.0000, 0.0000, 0.3166).

Its raw total energy is -378.78 eV/cell. The calculation puts the energy of formation at 4.38 eV/f.u.



(8)
First-principles (PBE-GGA) data for a geometry-optimized TiAlTl3 structure, as listed in Alexandria via LeMat-Bulk.

It has space group Pm-3m (No. 221), with a = 5.444 Å, b = 5.444 Å, c = 5.444 Å, α = 90.00°, β = 90.00° and γ = 90.00°. The asymmetric unit holds Ti at (0.000, 0.000, 0.000), Al at (0.500, 0.500, 0.500) and Tl at (0.000, 0.000, 0.500).

Its raw total energy is -15.61 eV/cell. The calculation puts the energy of formation at 3.13 eV/f.u. The polymorph energy (0 for the lowest one) comes out at 0 meV/atom.



(9)
First-principles (PBE-GGA) data for a geometry-optimized TiAlTl3 structure, as listed in Alexandria via LeMat-Bulk.

It has space group Pm-3m (No. 221), with a = 5.280 Å, b = 5.280 Å, c = 5.280 Å, α = 90.00°, β = 90.00° and γ = 90.00°. The asymmetric unit holds Ti at (0.000, 0.000, 0.000), Al at (0.500, 0.500, 0.500) and Tl at (0.000, 0.500, 0.500).

Its raw total energy is -14.38 eV/cell. The calculation puts the energy of formation at 4.35 eV/f.u. The polymorph energy (0 for the lowest one) comes out at 245 meV/atom.



(10)
First-principles (PBE-GGA) data for a geometry-optimized Ti4AlTl structure, as listed in Alexandria via LeMat-Bulk.

It has space group Pmmn (No. 59, origin choice 2), with a = 4.668 Å, b = 5.694 Å, c = 8.093 Å, α = 90.00°, β = 90.00° and γ = 90.00°. The asymmetric unit holds Ti at (0.250, 0.008, 0.225), Ti at (0.250, 0.750, 0.613), Ti at (0.250, 0.750, 0.933), Al at (0.250, 0.250, 0.907) and Tl at (0.250, 0.250, 0.573).

Its raw total energy is -76.37 eV/cell. The calculation puts the energy of formation at -0.50 eV/f.u. The polymorph energy (0 for the lowest one) comes out at 23 meV/atom.



(11)
First-principles (PBE-GGA) data for a geometry-optimized TiAl2Tl structure, as listed in Alexandria via LeMat-Bulk.

It has space group Fm-3m (No. 225), with a = 6.809 Å, b = 6.809 Å, c = 6.809 Å, α = 90.00°, β = 90.00° and γ = 90.00°. The asymmetric unit holds Ti at (0.000, 0.000, 0.000), Al at (0.250, 0.250, 0.250) and Tl at (0.000, 0.000, 0.500).

Its raw total energy is -64.79 eV/cell. The calculation puts the energy of formation at 1.55 eV/f.u. The polymorph energy (0 for the lowest one) comes out at 21 meV/atom.



(12)
First-principles (PBE-GGA) data for a geometry-optimized Ti3AlTl structure, as listed in Alexandria via LeMat-Bulk.

It has space group Pm-3m (No. 221), with a = 4.739 Å, b = 4.739 Å, c = 4.739 Å, α = 90.00°, β = 90.00° and γ = 90.00°. The asymmetric unit holds Ti at (0.000, 0.000, 0.500), Al at (0.000, 0.000, 0.000) and Tl at (0.500, 0.500, 0.500).

Its raw total energy is -26.96 eV/cell. The calculation puts the energy of formation at 2.83 eV/f.u. The polymorph energy (0 for the lowest one) comes out at 0 meV/atom.